1.
Na4PmNp3Te8 | PBE | optimized geometry

```
Na4PmNp3Te8
1.0
4.502 2.599 7.512
-4.502 2.599 7.512
0.000 -5.199 7.512
Na Pm Np Te
4 1 3 8
direct
0.000 0.000 0.000
0.000 0.500 0.500
0.500 0.000 0.500
0.500 0.500 0.000
0.500 0.500 0.500
0.000 0.000 0.500
0.000 0.500 0.000
0.500 0.000 0.000
0.243 0.746 0.746
0.244 0.244 0.244
0.254 0.254 0.757
0.254 0.757 0.254
0.746 0.243 0.746
0.746 0.746 0.243
0.756 0.756 0.756
0.757 0.254 0.254
```

Output
* formation energy without anion corrections: -15.0 eV/f.u.
* calculated volume: 527 Å³ per cell
* space-group type: R-3m, No. 166



2.
Na3PmNp2Te6 | PBE | optimized geometry

```
Na3PmNp2Te6
1.0
3.897 -6.750 0.000
3.897 6.750 0.000
-2.597 0.000 7.531
Na Pm Np Te
3 1 2 6
direct
0.000 0.000 0.000
0.335 0.665 0.000
0.665 0.335 0.000
0.500 0.500 0.500
0.167 0.833 0.500
0.833 0.167 0.500
0.085 0.421 0.264
0.242 0.242 0.736
0.421 0.085 0.264
0.579 0.915 0.736
0.758 0.758 0.264
0.915 0.579 0.736
```

Output
* formation energy without anion corrections: -11.7 eV/f.u.
* calculated volume: 396 Å³ per cell
* space-group type: C2/m, No. 12



Q: What is the formula in the second record?
A: Na3PmNp2Te6



Q: Among the records above, which one has the highest formation energy without anion corrections?
A: Na3PmNp2Te6